Record 1
Computed, not measured: crystalline Te2MoPb at its relaxed geometry at the PBE-GGA level of DFT.

Calculated values
E: -5.24 eV per atom
Crystal system: monoclinic
Volume: 103.6 Å³/f.u.
Uncorrected formation energy: -32 meV per atom
Magnetization: 0.0 μB/f.u.

Lattice parameters (Å, degrees): 6.0776 3.5109 9.9357 90.00 102.14 90.00
Space group C2/m (No. 12)
Symmetry-distinct sites (fractional):
Te: 0.2329 0.0000 0.1926 x4
Mo: 0.0000 0.5000 0.0000 x2
Pb: 0.0000 0.0000 0.5000 x2

---

Record 2
Computed, not measured: crystalline TeMo2Pb at its relaxed geometry at the PBE-GGA level of DFT.

Calculated values
E: -5.78 eV per atom
Crystal system: tetragonal
Volume: 122.9 Å³/f.u.
Offset from the most stable computed form: 1133.7 meV/atom
Uncorrected formation energy: 1352 meV per atom
Magnetization: 4.2 μB/f.u.

Lattice parameters (Å, degrees): 6.3592 6.3592 12.1578 90.00 90.00 90.00
Space group I-42d (No. 122)
Symmetry-distinct sites (fractional):
Te: 0.0000 0.0000 0.0000 x4
Mo: 0.2379 0.2500 0.1250 x8
Pb: 0.0000 0.0000 0.5000 x4

---

Record 3
Computed, not measured: crystalline Te2MoPb at its relaxed geometry at the PBE-GGA level of DFT.

Calculated values
E: -5.10 eV per atom
Crystal system: orthorhombic
Volume: 111.5 Å³/f.u.
Uncorrected formation energy: 107 meV per atom
Magnetization: 0.0 μB/f.u.

Lattice parameters (Å, degrees): 3.5436 5.2520 11.9822 90.00 90.00 90.00
Space group Amm2 (No. 38)
Symmetry-distinct sites (fractional):
Te: 0.0000 0.0000 0.0000 x2
Te: 0.5000 0.0000 0.3215 x2
Mo: 0.0000 0.0000 0.4923 x2
Pb: 0.5000 0.0000 0.6882 x2

---

Record 4
Computed, not measured: crystalline Te2MoPb at its relaxed geometry at the PBE-GGA level of DFT.

Calculated values
E: -4.98 eV per atom
Crystal system: orthorhombic
Volume: 115.3 Å³/f.u.
Uncorrected formation energy: 225 meV per atom
Magnetization: 1.3 μB/f.u.

Lattice parameters (Å, degrees): 3.3561 5.3211 12.9175 90.00 90.00 90.00
Space group Immm (No. 71)
Symmetry-distinct sites (fractional):
Te: 0.0000 0.0000 0.1696 x4
Mo: 0.0000 0.5000 0.5000 x2
Pb: 0.0000 0.5000 0.0000 x2

---

Record 5
Computed, not measured: crystalline TeMo2Pb at its relaxed geometry at the PBE-GGA level of DFT.

Calculated values
E: -6.48 eV per atom
Crystal system: trigonal
Volume: 79.2 Å³/f.u.
Offset from the most stable computed form: 433.9 meV/atom
Uncorrected formation energy: 652 meV per atom
Magnetization: 0.0 μB/f.u.

Lattice parameters (Å, degrees): 3.2364 3.2364 26.1892 90.00 90.00 120.00
Space group R-3m (No. 166, hexagonal axes)
Symmetry-distinct sites (fractional):
Te: 0.0000 0.0000 0.0000 x3
Mo: 0.0000 0.0000 0.2547 x6
Pb: 0.0000 0.0000 0.5000 x3

---

Record 6
Computed, not measured: crystalline TeMo2Pb at its relaxed geometry at the PBE-GGA level of DFT.

Calculated values
E: -6.69 eV per atom
Crystal system: orthorhombic
Volume: 91.7 Å³/f.u.
Offset from the most stable computed form: 221.7 meV/atom
Uncorrected formation energy: 440 meV per atom
Magnetization: 0.0 μB/f.u.

Lattice parameters (Å, degrees): 3.5069 5.0647 10.3314 90.00 90.00 90.00
Space group Cmm2 (No. 35)
Symmetry-distinct sites (fractional):
Te: 0.0000 0.0000 0.0000 x2
Mo: 0.0000 0.0000 0.3993 x2
Mo: 0.0000 0.5000 0.2215 x2
Pb: 0.0000 0.5000 0.6422 x2

---

Record 7
Computed, not measured: crystalline Te2MoPb at its relaxed geometry at the PBE-GGA level of DFT.

Calculated values
E: -4.84 eV per atom
Crystal system: tetragonal
Volume: 144.3 Å³/f.u.
Uncorrected formation energy: 363 meV per atom
Magnetization: 0.0 μB/f.u.

Lattice parameters (Å, degrees): 6.9267 6.9267 12.0307 90.00 90.00 90.00
Space group I-42d (No. 122)
Symmetry-distinct sites (fractional):
Te: 0.1828 0.2500 0.1250 x8
Mo: 0.0000 0.0000 0.0000 x4
Pb: 0.0000 0.0000 0.5000 x4

---

Record 8
Computed, not measured: crystalline TeMo2Pb at its relaxed geometry at the PBE-GGA level of DFT.

Calculated values
E: -6.50 eV per atom
Crystal system: cubic
Volume: 76.3 Å³/f.u.
Offset from the most stable computed form: 406.2 meV/atom
Uncorrected formation energy: 624 meV per atom
Magnetization: 0.0 μB/f.u.

Lattice parameters (Å, degrees): 6.7341 6.7341 6.7341 90.00 90.00 90.00
Space group Fm-3m (No. 225)
Symmetry-distinct sites (fractional):
Te: 0.0000 0.0000 0.0000 x4
Mo: 0.2500 0.2500 0.2500 x8
Pb: 0.0000 0.0000 0.5000 x4